A relaxed structure of LaMgAl. Source: Alexandria, functional PBE-GGA.

It has space group P-1 (No. 2), with a = 3.452 Å, b = 6.643 Å, c = 7.524 Å, α = 74.75°, β = 76.78° and γ = 75.22°. The asymmetric unit holds La at (0.063, 0.124, 0.243), Mg at (0.364, 0.611, 0.162) and Al at (0.320, 0.322, 0.536).


A relaxed structure of LaMgAl. Source: Alexandria, functional PBE-GGA.

It has space group Imma (No. 74), with a = 5.865 Å, b = 6.097 Å, c = 8.350 Å, α = 90.00°, β = 90.00° and γ = 90.00°. The asymmetric unit holds La at (0.000, 0.250, 0.139), Mg at (0.250, 0.250, 0.750) and Al at (0.000, 0.000, 0.500).


| no. | formation enthalpy at 0 K (meV/atom) | E_tot (eV/cell) |
| --- | --- | --- |
| 1 | -127 | -21.293 |
| 2 | -282 | -44.442 |